[1]
# LaCoAsO GGA+U optimized geometry
# DFT total energy: -52.6 eV/cell
data_LaCoAsO
_chemical_formula_sum 'La2 Co2 As2 O2'
_cell_length_a 4.0816
_cell_length_b 4.0816
_cell_length_c 8.2144
_cell_angle_alpha 90.00
_cell_angle_beta 90.00
_cell_angle_gamma 90.00
_space_group_name_H-M_alt 'P 1'
_space_group_IT_number 1
loop_
_space_group_symop_operation_xyz
'x,y,z'
loop_
_atom_site_label
_atom_site_fract_x
_atom_site_fract_y
_atom_site_fract_z
La1 0.2500 0.2500 0.1480
La2 0.7500 0.7500 0.8520
Co1 0.2500 0.7500 0.5000
Co2 0.7500 0.2500 0.5000
As1 0.2500 0.2500 0.6330
As2 0.7500 0.7500 0.3670
O1 0.2500 0.7500 0.0000
O2 0.7500 0.2500 0.0000



[2]
# LaCoAsO GGA+U optimized geometry
# DFT total energy: -41.1 eV/cell
data_LaCoAsO
_chemical_formula_sum 'La2 Co2 As2 O2'
_cell_length_a 4.3353
_cell_length_b 4.3353
_cell_length_c 9.4038
_cell_angle_alpha 90.00
_cell_angle_beta 90.00
_cell_angle_gamma 90.00
_space_group_name_H-M_alt 'P 1'
_space_group_IT_number 1
loop_
_space_group_symop_operation_xyz
'x,y,z'
loop_
_atom_site_label
_atom_site_fract_x
_atom_site_fract_y
_atom_site_fract_z
La1 0.2500 0.7500 0.0000
La2 0.7500 0.2500 0.0000
Co1 0.2500 0.2500 0.4822
Co2 0.7500 0.7500 0.5178
As1 0.2500 0.2500 0.2068
As2 0.7500 0.7500 0.7932
O1 0.2500 0.7500 0.5000
O2 0.7500 0.2500 0.5000